Record 1
VASP calculation (PBE) on an optimized crystal structure of Sm3Te2Se.

The value obtained for the excess energy over the best structure of this formula in the dataset is 0.0371 eV/atom.

It has space group P6_3/mmc (No. 194), with a = 4.3046 Å, b = 4.3046 Å, c = 22.1118 Å, α = 90.00°, β = 90.00° and γ = 120.00°. Symmetry generates all atoms from Sm at (0.0000, 0.0000, 0.0000), Sm at (0.3333, 0.6667, 0.1692), Te at (0.3333, 0.6667, 0.5853) and Se at (0.0000, 0.0000, 0.2500).

=====

Record 2
VASP calculation (PBE) on an optimized crystal structure of Sm3TeSe.

It has space group P2_1/m (No. 11), with a = 7.171 Å, b = 4.144 Å, c = 11.152 Å, α = 90.00°, β = 100.18° and γ = 90.00°. Symmetry generates all atoms from Sm at (0.183, 0.250, 0.431), Sm at (0.281, 0.750, 0.065), Sm at (0.287, 0.750, 0.741), Te at (0.456, 0.750, 0.348) and Se at (0.039, 0.250, 0.151).

=====

Record 3
VASP calculation (PBE) on an optimized crystal structure of Sm5Te5Se.

It has space group C2/m (No. 12), with a = 13.839 Å, b = 6.218 Å, c = 8.720 Å, α = 90.00°, β = 108.59° and γ = 90.00°. Symmetry generates all atoms from Sm at (0.000, 0.000, 0.000), Sm at (0.157, 0.500, 0.321), Sm at (0.161, 0.500, 0.840), Te at (0.000, 0.500, 0.500), Te at (0.162, 0.000, 0.821), Te at (0.168, 0.000, 0.338) and Se at (0.000, 0.500, 0.000).

=====

Record 4
VASP calculation (PBE) on an optimized crystal structure of SmThTeSe2.

It has space group I4mm (No. 107), with a = 4.712 Å, b = 4.712 Å, c = 13.982 Å, α = 90.00°, β = 90.00° and γ = 90.00°. Symmetry generates all atoms from Sm at (0.000, 0.000, 0.000), Th at (0.000, 0.000, 0.264), Te at (0.000, 0.000, 0.643) and Se at (0.000, 0.500, 0.384).

=====

no.,calculated total energy (eV/f.u.),DOS at the Fermi energy (states/eV/cell)
1,-32.8,5.6
2,-26.0,9.7
3,-59.4,8.1
4,-28.8,2.6